(1)
# SCAN NaAl2Ga2, PBEsol geometry
# DOS(E_F)	0.79	states/eV/f.u.
# formation enthalpy at 0 K	-0.16	eV/atom
data_NaAl2Ga2
_chemical_formula_sum 'Na2 Al4 Ga4'
_space_group_name_H-M_alt 'I 4/m m m'
_space_group_IT_number 139
_space_group_name_Hall '-I 4 2'
_cell_length_a 4.134
_cell_length_b 4.134
_cell_length_c 11.298
_cell_angle_alpha 90.00
_cell_angle_beta 90.00
_cell_angle_gamma 90.00
loop_
_atom_site_label
_atom_site_fract_x
_atom_site_fract_y
_atom_site_fract_z
Na1 0.000 0.000 0.000
Al1 0.000 0.500 0.250
Ga1 0.000 0.000 0.391


(2)
# SCAN AlHg2Pt, PBEsol geometry
# DOS(E_F)	1.10	states/eV/f.u.
# formation enthalpy at 0 K	0.03	eV/atom
data_AlHg2Pt
_chemical_formula_sum 'Al1 Hg2 Pt1'
_space_group_name_H-M_alt 'P 4/m m m'
_space_group_IT_number 123
_space_group_name_Hall '-P 4 2'
_cell_length_a 4.043
_cell_length_b 4.043
_cell_length_c 4.308
_cell_angle_alpha 90.00
_cell_angle_beta 90.00
_cell_angle_gamma 90.00
loop_
_atom_site_label
_atom_site_fract_x
_atom_site_fract_y
_atom_site_fract_z
Al1 0.000 0.000 0.000
Hg1 0.000 0.500 0.500
Pt1 0.500 0.500 0.000


(3)
# SCAN MgScAl, PBEsol geometry
# DOS(E_F)	2.06	states/eV/f.u.
# formation enthalpy at 0 K	-0.24	eV/atom
data_MgScAl
_chemical_formula_sum 'Mg1 Sc1 Al1'
_space_group_name_H-M_alt 'P -6 m 2'
_space_group_IT_number 187
_space_group_name_Hall 'P -6 2'
_cell_length_a 4.6997
_cell_length_b 4.6997
_cell_length_c 3.1575
_cell_angle_alpha 90.00
_cell_angle_beta 90.00
_cell_angle_gamma 120.00
loop_
_atom_site_label
_atom_site_fract_x
_atom_site_fract_y
_atom_site_fract_z
Mg1 0.0000 0.0000 0.0000
Sc1 0.3333 0.6667 0.5000
Al1 0.6667 0.3333 0.0000


(4)
# SCAN KNbAlCo2, PBEsol geometry
# DOS(E_F)	4.19	states/eV/f.u.
# formation enthalpy at 0 K	1.61	eV/atom
data_KNbAlCo2
_chemical_formula_sum 'K1 Nb1 Al1 Co2'
_space_group_name_H-M_alt 'P 4/m m m'
_space_group_IT_number 123
_space_group_name_Hall '-P 4 2'
_cell_length_a 4.366
_cell_length_b 4.366
_cell_length_c 4.884
_cell_angle_alpha 90.00
_cell_angle_beta 90.00
_cell_angle_gamma 90.00
loop_
_atom_site_label
_atom_site_fract_x
_atom_site_fract_y
_atom_site_fract_z
K1 0.000 0.000 0.000
Nb1 0.500 0.500 0.000
Al1 0.000 0.000 0.500
Co1 0.000 0.500 0.500